1.
{"formula": "NdScAs2Rh5", "functional": "PBE-GGA", "state": "optimized geometry", "magmom_total_mub_per_cell": 0.00, "spacegroup": "P4/mmm (123)", "dos_ef_per_ev_cell": 3.956, "delta_e_f_ev_per_atom": -0.541, "rho_kg_m3": 7876, "final_energy_ev_per_atom": -6.89, "cell": [[-2.139, 3.280, -1.119], [-2.059, -2.260, -2.691], [-7.427, -2.259, 7.580]], "species": ["Nd", "Sc", "As", "As", "Rh", "Rh", "Rh", "Rh", "Rh"], "frac_coords": [[0.000, 0.000, 0.500], [0.000, 0.000, 0.000], [0.500, 0.500, 0.280], [0.500, 0.500, 0.720], [0.000, 0.500, 0.166], [0.500, 0.000, 0.166], [0.000, 0.500, 0.834], [0.500, 0.000, 0.834], [0.500, 0.500, 0.500]]}

2.
{"formula": "NdAsRhSe", "functional": "PBE-GGA", "state": "optimized geometry", "magmom_total_mub_per_cell": 0.00, "spacegroup": "P4/nmm (129)", "dos_ef_per_ev_cell": 5.227, "rho_kg_m3": 7975, "raw_formation_energy_ev_per_atom": -1.037, "final_energy_ev_per_atom": -6.10, "cell": [[-2.868, 1.854, 2.340], [-2.537, -3.224, -0.556], [3.702, -4.282, 7.931]], "species": ["Nd", "Nd", "As", "As", "Rh", "Rh", "Se", "Se"], "frac_coords": [[0.500, 0.000, 0.735], [0.000, 0.500, 0.265], [0.000, 0.500, 0.852], [0.500, 0.000, 0.148], [0.500, 0.500, 0.000], [0.000, 0.000, 0.000], [0.000, 0.000, 0.500], [0.500, 0.500, 0.500]]}

3.
{"formula": "Nd3SiAs2Rh9", "functional": "PBE-GGA", "state": "optimized geometry", "magmom_total_mub_per_cell": 0.00, "spacegroup": "P-3m1 (164)", "dos_ef_per_ev_cell": 4.404, "rho_kg_m3": 8629, "raw_formation_energy_ev_per_atom": -0.501, "final_energy_ev_per_atom": -6.85, "cell": [[-5.421, 3.253, 0.768], [-0.108, -6.364, -0.210], [1.007, -0.293, 8.354]], "species": ["Nd", "Nd", "Nd", "Si", "As", "As", "Rh", "Rh", "Rh", "Rh", "Rh", "Rh", "Rh", "Rh", "Rh"], "frac_coords": [[0.333, 0.667, 0.683], [0.000, 0.000, 0.000], [0.667, 0.333, 0.317], [0.000, 0.000, 0.500], [0.333, 0.667, 0.183], [0.667, 0.333, 0.817], [0.857, 0.143, 0.706], [0.857, 0.714, 0.706], [0.286, 0.143, 0.706], [0.714, 0.857, 0.294], [0.143, 0.286, 0.294], [0.143, 0.857, 0.294], [0.500, 0.000, 0.000], [0.000, 0.500, 0.000], [0.500, 0.500, 0.000]]}

4.
{"formula": "Nd2SmAs3Rh4", "functional": "PBE-GGA", "state": "optimized geometry", "magmom_total_mub_per_cell": 0.00, "spacegroup": "P-4m2 (115)", "dos_ef_per_ev_cell": 6.532, "delta_e_f_ev_per_atom": -0.932, "rho_kg_m3": 8970, "final_energy_ev_per_atom": -6.69, "cell": [[-0.984, 3.024, -2.689], [-2.409, -2.661, -2.111], [-8.961, 2.913, 6.555]], "species": ["Nd", "Nd", "Sm", "As", "As", "As", "Rh", "Rh", "Rh", "Rh"], "frac_coords": [[0.500, 0.000, 0.222], [0.000, 0.500, 0.778], [0.500, 0.500, 0.500], [0.000, 0.000, 0.500], [0.500, 0.000, 0.873], [0.000, 0.500, 0.127], [0.500, 0.500, 0.000], [0.000, 0.000, 0.000], [0.500, 0.000, 0.662], [0.000, 0.500, 0.338]]}

5.
{"formula": "NdSnAs2Rh5", "functional": "PBE-GGA", "state": "optimized geometry", "magmom_total_mub_per_cell": 0.00, "spacegroup": "P4/mmm (123)", "dos_ef_per_ev_cell": 4.860, "delta_e_f_ev_per_atom": -0.520, "rho_kg_m3": 8557, "final_energy_ev_per_atom": -6.61, "cell": [[-1.091, 3.954, -0.466], [-3.143, -1.152, -2.416], [-6.251, -0.725, 8.478]], "species": ["Nd", "Sn", "As", "As", "Rh", "Rh", "Rh", "Rh", "Rh"], "frac_coords": [[0.000, 0.000, 0.500], [0.000, 0.000, 0.000], [0.500, 0.500, 0.275], [0.500, 0.500, 0.725], [0.000, 0.500, 0.161], [0.500, 0.000, 0.161], [0.000, 0.500, 0.839], [0.500, 0.000, 0.839], [0.500, 0.500, 0.500]]}

6.
{"formula": "Sr2NdAs3Rh4", "functional": "PBE-GGA", "state": "optimized geometry", "magmom_total_mub_per_cell": 0.00, "spacegroup": "P-4m2 (115)", "dos_ef_per_ev_cell": 3.569, "delta_e_f_ev_per_atom": -0.793, "rho_kg_m3": 7689, "final_energy_ev_per_atom": -5.94, "cell": [[-1.228, 1.082, -3.939], [3.930, -0.806, -1.447], [-2.958, -10.764, -2.035]], "species": ["Sr", "Sr", "Nd", "As", "As", "As", "Rh", "Rh", "Rh", "Rh"], "frac_coords": [[0.500, 0.000, 0.230], [0.000, 0.500, 0.770], [0.500, 0.500, 0.500], [0.000, 0.000, 0.500], [0.500, 0.000, 0.877], [0.000, 0.500, 0.123], [0.500, 0.500, 0.000], [0.000, 0.000, 0.000], [0.500, 0.000, 0.662], [0.000, 0.500, 0.338]]}

7.
{"formula": "TbNd2As3Rh4", "functional": "PBE-GGA", "state": "optimized geometry", "magmom_total_mub_per_cell": 0.00, "spacegroup": "P-4m2 (115)", "dos_ef_per_ev_cell": 6.312, "delta_e_f_ev_per_atom": -0.958, "rho_kg_m3": 9156, "final_energy_ev_per_atom": -6.71, "cell": [[4.145, 0.000, 0.000], [0.000, 4.145, 0.000], [0.000, 0.000, 11.440]], "species": ["Tb", "Nd", "Nd", "As", "As", "As", "Rh", "Rh", "Rh", "Rh"], "frac_coords": [[0.500, 0.500, 0.500], [0.500, 0.000, 0.224], [0.000, 0.500, 0.776], [0.000, 0.000, 0.500], [0.500, 0.000, 0.872], [0.000, 0.500, 0.128], [0.500, 0.500, 0.000], [0.000, 0.000, 0.000], [0.500, 0.000, 0.660], [0.000, 0.500, 0.340]]}

8.
{"formula": "Nd3TeAs2Rh9", "functional": "PBE-GGA", "state": "optimized geometry", "magmom_total_mub_per_cell": 0.00, "spacegroup": "P-3m1 (164)", "dos_ef_per_ev_cell": 8.116, "rho_kg_m3": 8522, "raw_formation_energy_ev_per_atom": -0.441, "final_energy_ev_per_atom": -6.64, "cell": [[-5.734, -1.843, 1.775], [5.020, -1.654, 3.391], [-0.906, 7.753, 5.122]], "species": ["Nd", "Nd", "Nd", "Te", "As", "As", "Rh", "Rh", "Rh", "Rh", "Rh", "Rh", "Rh", "Rh", "Rh"], "frac_coords": [[0.333, 0.667, 0.728], [0.000, 0.000, 0.000], [0.667, 0.333, 0.272], [0.000, 0.000, 0.500], [0.333, 0.667, 0.168], [0.667, 0.333, 0.832], [0.855, 0.145, 0.722], [0.855, 0.711, 0.722], [0.289, 0.145, 0.722], [0.711, 0.855, 0.278], [0.145, 0.289, 0.278], [0.145, 0.855, 0.278], [0.500, 0.000, 0.000], [0.000, 0.500, 0.000], [0.500, 0.500, 0.000]]}

9.
{"formula": "Nd8Te4As3Rh", "functional": "PBE-GGA", "state": "optimized geometry", "magmom_total_mub_per_cell": 0.00, "spacegroup": "R-3m (166)", "dos_ef_per_ev_cell": 10.226, "rho_kg_m3": 6928, "raw_formation_energy_ev_per_atom": -1.389, "final_energy_ev_per_atom": -5.89, "cell": [[-1.444, -8.064, -2.898], [7.252, 0.520, -5.059], [0.641, 1.500, 8.536]], "species": ["Nd", "Nd", "Nd", "Nd", "Nd", "Nd", "Nd", "Nd", "Te", "Te", "Te", "Te", "As", "As", "As", "Rh"], "frac_coords": [[0.236, 0.718, 0.983], [0.236, 0.718, 0.471], [0.259, 0.278, 0.519], [0.747, 0.718, 0.983], [0.253, 0.282, 0.017], [0.741, 0.722, 0.481], [0.764, 0.282, 0.529], [0.764, 0.282, 0.017], [0.500, 0.000, 0.000], [0.500, 0.000, 0.500], [0.000, 0.000, 0.000], [0.000, 0.000, 0.500], [0.500, 0.500, 0.000], [0.500, 0.500, 0.500], [0.000, 0.500, 0.500], [0.000, 0.500, 0.000]]}

10.
{"formula": "NdTh2As2Rh7", "functional": "PBE-GGA", "state": "optimized geometry", "magmom_total_mub_per_cell": 0.00, "spacegroup": "C2/m (12)", "dos_ef_per_ev_cell": 7.670, "delta_e_f_ev_per_atom": -0.755, "rho_kg_m3": 10835, "final_energy_ev_per_atom": -7.45, "cell": [[4.110, 0.022, -0.089], [0.027, 4.110, -0.089], [1.716, 1.715, 13.343]], "species": ["Nd", "Th", "Th", "As", "As", "Rh", "Rh", "Rh", "Rh", "Rh", "Rh", "Rh"], "frac_coords": [[0.000, 0.000, 0.000], [0.887, 0.887, 0.351], [0.113, 0.113, 0.649], [0.587, 0.587, 0.744], [0.413, 0.413, 0.256], [0.500, 0.500, 0.000], [0.341, 0.341, 0.437], [0.659, 0.659, 0.563], [0.944, 0.444, 0.163], [0.444, 0.944, 0.163], [0.556, 0.056, 0.837], [0.056, 0.556, 0.837]]}

11.
{"formula": "Nd2TiAs4Rh3", "functional": "PBE-GGA", "state": "optimized geometry", "magmom_total_mub_per_cell": 0.00, "spacegroup": "P-4m2 (115)", "dos_ef_per_ev_cell": 4.718, "delta_e_f_ev_per_atom": -0.944, "rho_kg_m3": 8255, "final_energy_ev_per_atom": -6.75, "cell": [[4.291, 0.000, 0.000], [0.000, 4.291, 0.000], [0.000, 0.000, 10.320]], "species": ["Nd", "Nd", "Ti", "As", "As", "As", "As", "Rh", "Rh", "Rh"], "frac_coords": [[0.500, 0.000, 0.235], [0.000, 0.500, 0.765], [0.500, 0.500, 0.500], [0.500, 0.500, 0.000], [0.000, 0.000, 0.000], [0.500, 0.000, 0.640], [0.000, 0.500, 0.360], [0.000, 0.000, 0.500], [0.500, 0.000, 0.881], [0.000, 0.500, 0.119]]}

12.
{"formula": "Nd2TmAs4Rh3", "functional": "PBE-GGA", "state": "optimized geometry", "magmom_total_mub_per_cell": 0.00, "spacegroup": "P-4m2 (115)", "dos_ef_per_ev_cell": 4.213, "delta_e_f_ev_per_atom": -0.976, "rho_kg_m3": 8742, "final_energy_ev_per_atom": -6.44, "cell": [[-0.704, 2.377, -3.541], [3.122, -2.158, -2.069], [-7.284, -7.256, -3.421]], "species": ["Nd", "Nd", "Tm", "As", "As", "As", "As", "Rh", "Rh", "Rh"], "frac_coords": [[0.500, 0.000, 0.223], [0.000, 0.500, 0.777], [0.500, 0.500, 0.500], [0.500, 0.500, 0.000], [0.000, 0.000, 0.000], [0.500, 0.000, 0.660], [0.000, 0.500, 0.340], [0.000, 0.000, 0.500], [0.500, 0.000, 0.889], [0.000, 0.500, 0.111]]}